## AcPmC4 (PBE)

Data for crystalline AcPmC4 at its relaxed geometry.

Geometry as CIF:
```
data_AcPmC4
_chemical_formula_sum 'Ac2 Pm2 C8'
_cell_length_a 7.758
_cell_length_b 3.941
_cell_length_c 7.631
_cell_angle_alpha 90.00
_cell_angle_beta 117.98
_cell_angle_gamma 90.00
_symmetry_space_group_name_H-M 'C 1 2/m 1'
_symmetry_Int_Tables_number 12
_symmetry_space_group_name_Hall '-C 2y'
loop_
_atom_site_label
_atom_site_fract_x
_atom_site_fract_y
_atom_site_fract_z
_atom_site_occupancy
Ac1 0.000 0.000 0.000 1
Pm1 0.000 0.500 0.500 1
C1 0.193 0.000 0.779 1
C2 0.205 0.500 0.316 1
```

Properties
- N(E_F) (states/eV per atom) = 0.3203
- formation energy (meV per atom) = -97
- DFT total energy (eV/atom) = -7.723
- theoretical density (Mg/m³) = 6.77